Entry 1:
# MnZnOs3 | Alexandria | PBE | optimized geometry
data_MnZnOs3
_chemical_formula_sum 'Mn1 Zn1 Os3'
_cell_length_a 4.418
_cell_length_b 4.418
_cell_length_c 4.418
_cell_angle_alpha 90.00
_cell_angle_beta 90.00
_cell_angle_gamma 90.00
_symmetry_space_group_name_H-M 'P m -3 m'
_symmetry_Int_Tables_number 221
_symmetry_space_group_name_Hall '-P 4 2 3'
loop_
_atom_site_label
_atom_site_type_symbol
_atom_site_fract_x
_atom_site_fract_y
_atom_site_fract_z
_atom_site_occupancy
Mn1 Mn 0.000 0.000 0.000 1
Zn1 Zn 0.500 0.500 0.500 1
Os1 Os 0.000 0.000 0.500 1
# ΔH_f (0 K), meV per atom: 1660
# Distance to the lowest polymorph of the same formula, eV per formula unit: 0.00

Entry 2:
# YSc4Pt4 | Alexandria | PBE | optimized geometry
data_YSc4Pt4
_chemical_formula_sum 'Y2 Sc8 Pt8'
_cell_length_a 8.737
_cell_length_b 8.737
_cell_length_c 5.411
_cell_angle_alpha 90.00
_cell_angle_beta 90.00
_cell_angle_gamma 90.00
_symmetry_space_group_name_H-M 'P 42/n'
_symmetry_Int_Tables_number 86
loop_
_symmetry_equiv_pos_as_xyz
'x,y,z'
'-x,-y,-z'
'-y,x+1/2,z+1/2'
'y,-x+1/2,-z+1/2'
'-x+1/2,-y+1/2,z'
'x+1/2,y+1/2,-z'
'y+1/2,-x,z+1/2'
'-y+1/2,x,-z+1/2'
loop_
_atom_site_label
_atom_site_type_symbol
_atom_site_fract_x
_atom_site_fract_y
_atom_site_fract_z
_atom_site_occupancy
Y1 Y 0.250 0.250 0.250 1
Sc1 Sc 0.092 0.647 0.159 1
Pt1 Pt 0.045 0.615 0.666 1
# ΔH_f (0 K), meV per atom: -989

Entry 3:
# Ni2Os | Alexandria | PBE | optimized geometry
data_Ni2Os
_chemical_formula_sum 'Ni4 Os2'
_cell_length_a 2.590
_cell_length_b 3.666
_cell_length_c 7.633
_cell_angle_alpha 90.00
_cell_angle_beta 90.00
_cell_angle_gamma 90.00
_symmetry_space_group_name_H-M 'I m m m'
_symmetry_Int_Tables_number 71
_symmetry_space_group_name_Hall '-I 2 2'
loop_
_atom_site_label
_atom_site_type_symbol
_atom_site_fract_x
_atom_site_fract_y
_atom_site_fract_z
_atom_site_occupancy
Ni1 Ni 0.000 0.000 0.165 1
Os1 Os 0.000 0.000 0.500 1
# ΔH_f (0 K), meV per atom: 145
# Distance to the lowest polymorph of the same formula, eV per formula unit: 0.24

Entry 4:
# YFe2 | Alexandria | PBE | optimized geometry
data_YFe2
_chemical_formula_sum 'Y4 Fe8'
_cell_length_a 3.524
_cell_length_b 14.775
_cell_length_c 4.131
_cell_angle_alpha 90.00
_cell_angle_beta 90.00
_cell_angle_gamma 90.00
_symmetry_space_group_name_H-M 'C m c m'
_symmetry_Int_Tables_number 63
_symmetry_space_group_name_Hall '-C 2c 2'
loop_
_atom_site_label
_atom_site_type_symbol
_atom_site_fract_x
_atom_site_fract_y
_atom_site_fract_z
_atom_site_occupancy
Y1 Y 0.000 0.089 0.250 1
Fe1 Fe 0.000 0.251 0.750 1
Fe2 Fe 0.000 0.353 0.250 1
# ΔH_f (0 K), meV per atom: 109

Entry 5:
# Lu2ScTe | Alexandria | PBE | optimized geometry
data_Lu2ScTe
_chemical_formula_sum 'Lu2 Sc1 Te1'
_cell_length_a 3.881
_cell_length_b 3.881
_cell_length_c 6.928
_cell_angle_alpha 90.00
_cell_angle_beta 90.00
_cell_angle_gamma 90.00
_symmetry_space_group_name_H-M 'P 4/m m m'
_symmetry_Int_Tables_number 123
_symmetry_space_group_name_Hall '-P 4 2'
loop_
_atom_site_label
_atom_site_type_symbol
_atom_site_fract_x
_atom_site_fract_y
_atom_site_fract_z
_atom_site_occupancy
Lu1 Lu 0.000 0.000 0.249 1
Sc1 Sc 0.500 0.500 0.500 1
Te1 Te 0.500 0.500 0.000 1
# Raw formation energy, meV per atom: -527

Entry 6:
# ZrPd2Pt | Alexandria | PBE | optimized geometry
data_ZrPd2Pt
_chemical_formula_sum 'Zr4 Pd8 Pt4'
_cell_length_a 7.292
_cell_length_b 7.292
_cell_length_c 5.491
_cell_angle_alpha 90.00
_cell_angle_beta 90.00
_cell_angle_gamma 90.00
_symmetry_space_group_name_H-M 'I -4 2 d'
_symmetry_Int_Tables_number 122
_symmetry_space_group_name_Hall 'I -4 2bw'
loop_
_atom_site_label
_atom_site_type_symbol
_atom_site_fract_x
_atom_site_fract_y
_atom_site_fract_z
_atom_site_occupancy
Zr1 Zr 0.000 0.000 0.000 1
Pd1 Pd 0.246 0.750 0.125 1
Pt1 Pt 0.000 0.000 0.500 1
# ΔH_f (0 K), meV per atom: -329

no.,final energy (eV per atom)
1,-7.167
2,-7.206
3,-7.452
4,-7.687
5,-5.156
6,-6.573